A geometry-optimized TcW structure. Source: Alexandria, functional GGA-PBE.

energy relative to the lowest polymorph listed for this composition = 583.9 meV per atom

a b c (Å): 2.8040 2.8040 9.4452
angles (deg): 90.00 90.00 120.00
Space group P6_3mc (No. 186)
Symmetry-distinct sites (fractional):
Tc1 0.3333 0.6667 0.0000 x2
W1 0.3333 0.6667 0.2691 x2

---

A geometry-optimized Ba2CaTh structure. Source: Alexandria, functional GGA-PBE.

E_tot = -2.89 eV per atom

a b c (Å): 3.7824 3.7824 42.9800
angles (deg): 90.00 90.00 120.00
Space group R-3m (No. 166, hexagonal axes)
Symmetry-distinct sites (fractional):
Ba1 0.0000 0.0000 0.0853 x6
Ca1 0.0000 0.0000 0.5000 x3
Th1 0.0000 0.0000 0.0000 x3

---

A geometry-optimized CsSmPdF6 structure. Source: Alexandria, functional GGA-PBE.

E_form (uncorrected) = -25.0 eV per formula unit

a b c (Å): 8.042 8.464 11.546
angles (deg): 90.00 90.00 90.00
Space group Imma (No. 74)
Symmetry-distinct sites (fractional):
Cs1 0.000 0.250 0.073 x4
Sm1 0.000 0.000 0.500 x4
Pd1 0.250 0.250 0.750 x4
F1 0.000 0.250 0.427 x4
F2 0.000 0.250 0.822 x4
F3 0.210 0.062 0.619 x16

---

A geometry-optimized LiCe2Hg3 structure. Source: Alexandria, functional GGA-PBE.

energy relative to the lowest polymorph listed for this composition = 7.9 meV per atom

a b c (Å): 3.460 27.881 6.365
angles (deg): 90.00 90.00 90.00
Space group Cmcm (No. 63)
Symmetry-distinct sites (fractional):
Li1 0.000 0.158 0.250 x4
Ce1 0.000 0.330 0.250 x4
Ce2 0.000 0.496 0.750 x4
Hg1 0.000 0.084 0.510 x8
Hg2 0.000 0.269 0.750 x4

---

Result set for total magnetization: 0.00, 0.00, 2.00, 2.25 μB/f.u., one per record in the order listed.
Result set for DOS at the Fermi energy: 1.62, 6.50, 0.01, 14.15 states/eV/f.u., one per record in the order listed.